# 1
Below is an optimized crystal structure of CrCo3, with properties calculated at the PBE level.

The space group is P-6m2. The energy above the most stable polymorph in this dataset comes out at 80.3 meV/atom.

Cell lengths 2.5034, 2.5034, 8.0149 Å; angles 90.00, 90.00, 120.00 degrees
Sites, in units of the cell vectors:
Co 0.0000 0.0000 0.5009
Co 0.0000 0.0000 0.9991
Co 0.3333 0.6667 0.2500
Cr 0.3333 0.6667 0.7500

# 2
Below is an optimized crystal structure of Pm2Sn3GePt4, with properties calculated at the PBE level.

The space group is P-4m2.

Cell lengths 4.5709, 4.5709, 10.4836 Å; angles 90.00, 90.00, 90.00 degrees
Sites, in units of the cell vectors:
Sn 0.0000 0.0000 0.5000
Sn 0.5000 0.0000 0.8682
Sn 0.0000 0.5000 0.1318
Pm 0.0000 0.5000 0.7516
Pm 0.5000 0.0000 0.2484
Pt 0.5000 0.5000 0.0000
Pt 0.5000 0.0000 0.6206
Pt 0.0000 0.5000 0.3794
Pt 0.0000 0.0000 0.0000
Ge 0.5000 0.5000 0.5000

no.,density of states at the Fermi level (states/eV per atom),formation enthalpy at 0 K (meV/atom)
1,1.16,75
2,0.54,-823